# TcIr2 (PBE, optimized geometry)
data_TcIr2
_chemical_formula_sum 'Tc1 Ir2'
_symmetry_space_group_name_H-M 'P 1'
_symmetry_Int_Tables_number 1
_cell_length_a 2.7300
_cell_length_b 2.7300
_cell_length_c 6.7435
_cell_angle_alpha 90.00
_cell_angle_beta 90.00
_cell_angle_gamma 120.00
loop_
_symmetry_equiv_pos_as_xyz
'x,y,z'
loop_
_atom_site_label
_atom_site_type_symbol
_atom_site_fract_x
_atom_site_fract_y
_atom_site_fract_z
Ir1 Ir 0.3333 0.6667 0.6590
Ir2 Ir 0.0000 0.0000 0.0076
Tc1 Tc 0.6667 0.3333 0.3333
# relative energy among the computed polymorphs	106	meV per atom
# total DFT energy (no corrections)	-28.44	eV per formula unit
# formation energy	-0.119	eV/atom
# M_tot	0.0	μB/f.u.